The following is a PBE-GGA calculation of a geometry-optimized InNi2Sn2 structure, from the Alexandria database.

Calculated values
E_form: -0.001 eV/atom
Density: 8.40 g/cm3
Size of the total moment: 0.0 Bohr magnetons per cell

Cell: 6.932 6.932 3.865 Å, 90.00 90.00 90.00°
Sites, in units of the cell vectors:
1 In 0.000 0.000 0.000
2 In 0.500 0.500 0.000
3 Ni 0.133 0.367 0.000
4 Ni 0.367 0.867 0.000
5 Ni 0.633 0.133 0.000
6 Ni 0.867 0.633 0.000
7 Sn 0.161 0.661 0.500
8 Sn 0.339 0.161 0.500
9 Sn 0.661 0.839 0.500
10 Sn 0.839 0.339 0.500